NiTe2C | GGA-PBE | optimized geometry

Computed properties:
raw total energy = -4.381 eV per atom
D(E_F) = 3.23 states/eV per cell

Structure (POSCAR):
```
NiTe2C
1.0
-4.408 -1.441 5.122
-3.736 -4.878 3.161
-1.062 -3.540 5.838
Ni C Te
1 1 2
direct
0.500 0.500 0.500 Ni
0.000 0.000 0.000 C
0.900 0.900 0.900 Te
0.100 0.100 0.100 Te
```

---

Th8NiTe4C3 | GGA-PBE | optimized geometry

Computed properties:
raw total energy = -7.354 eV per atom
D(E_F) = 9.25 states/eV per cell

Structure (POSCAR):
```
Th8NiTe4C3
1.0
7.992 0.000 0.000
0.000 8.726 0.517
-3.996 -3.994 5.652
Th Ni Te C
8 1 4 3
direct
0.237 0.689 0.952 Th
0.237 0.689 0.475 Th
0.271 0.313 0.542 Th
0.714 0.689 0.952 Th
0.286 0.311 0.048 Th
0.729 0.687 0.458 Th
0.763 0.311 0.525 Th
0.763 0.311 0.048 Th
0.000 0.500 0.000 Ni
0.500 0.000 0.000 Te
0.500 0.000 0.500 Te
0.000 0.000 0.000 Te
0.000 0.000 0.500 Te
0.500 0.500 0.000 C
0.500 0.500 0.500 C
0.000 0.500 0.500 C
```